1.
Compound: YNbCl2
Source: Alexandria
Functional: PBE
Structure: relaxed

Cell: 3.2471 3.2471 27.3271 Å, 90.00 90.00 120.00°
Last column: nearest neighbours and their distance in Å.
Sites, in units of the cell vectors:
Y: 0.0000 0.0000 0.0000  6 Cl 2.77
Y: 0.3333 0.6667 0.6667  6 Cl 2.77
Y: 0.6667 0.3333 0.3333  6 Cl 2.77
Nb: 0.0000 0.0000 0.5000  2 Cl 2.52
Nb: 0.3333 0.6667 0.1667  2 Cl 2.52
Nb: 0.6667 0.3333 0.8333  2 Cl 2.52
Cl: 0.0000 0.0000 0.4078  1 Nb 2.52, 3 Y 2.77
Cl: 0.0000 0.0000 0.5922  1 Nb 2.52, 3 Y 2.77
Cl: 0.3333 0.6667 0.0744  1 Nb 2.52, 3 Y 2.77
Cl: 0.3333 0.6667 0.2589  1 Nb 2.52, 3 Y 2.77
Cl: 0.6667 0.3333 0.7411  1 Nb 2.52, 3 Y 2.77
Cl: 0.6667 0.3333 0.9256  1 Nb 2.52, 3 Y 2.77

Its magnetic moment is 0.0 μB/f.u. For the density of states at the Fermi level, the calculation gives 0.68 states/eV/atom. Its volume is 20.793 Å³ per atom. As for the energy relative to the elements, uncorrected: -0.6750 eV per atom.


2.
Compound: KLa2Tl
Source: Alexandria
Functional: PBE
Structure: relaxed

Cell: 8.2719 8.2719 8.2719 Å, 90.00 90.00 90.00°
Last column: nearest neighbours and their distance in Å.
Sites, in units of the cell vectors:
K: 0.0000 0.0000 0.0000  4 Tl 3.58, 4 La 3.58
K: 0.0000 0.5000 0.5000  4 Tl 3.58, 4 La 3.58
K: 0.5000 0.0000 0.5000  4 Tl 3.58, 4 La 3.58
K: 0.5000 0.5000 0.0000  4 Tl 3.58, 4 La 3.58
La: 0.0000 0.0000 0.5000  4 Tl 3.58, 4 La 3.58
La: 0.0000 0.5000 0.0000  4 Tl 3.58, 4 La 3.58
La: 0.2500 0.2500 0.7500  4 K 3.58, 4 La 3.58
La: 0.2500 0.7500 0.2500  4 K 3.58, 4 La 3.58
La: 0.5000 0.0000 0.0000  4 Tl 3.58, 4 La 3.58
La: 0.5000 0.5000 0.5000  4 Tl 3.58, 4 La 3.58
La: 0.7500 0.2500 0.2500  4 K 3.58, 4 La 3.58
La: 0.7500 0.7500 0.7500  4 K 3.58, 4 La 3.58
Tl: 0.2500 0.2500 0.2500  4 La 3.58, 4 K 3.58
Tl: 0.2500 0.7500 0.7500  4 La 3.58, 4 K 3.58
Tl: 0.7500 0.2500 0.7500  4 La 3.58, 4 K 3.58
Tl: 0.7500 0.7500 0.2500  4 La 3.58, 4 K 3.58

Its magnetic moment is 1.9 μB/f.u. For the density of states at the Fermi level, the calculation gives 1.29 states/eV/atom. Its volume is 35.375 Å³ per atom. The calculation puts the formation energy at 0.2482 eV per atom.


3.
Compound: PmPrDy2Tm2
Source: Alexandria
Functional: PBE
Structure: relaxed

Cell: 6.9804 16.0558 3.5480 Å, 90.00 90.00 90.00°
Last column: nearest neighbours and their distance in Å.
Sites, in units of the cell vectors:
Pm: 0.0000 0.0000 0.0000  2 Pr 3.49, 4 Tm 3.54, 2 Pm 3.55, 4 Dy 3.57
Pm: 0.5000 0.5000 0.5000  2 Pr 3.49, 4 Tm 3.54, 2 Pm 3.55, 4 Dy 3.57
Pr: 0.0000 0.5000 0.5000  2 Pm 3.49, 4 Tm 3.54, 2 Pr 3.55, 4 Dy 3.57
Pr: 0.5000 0.0000 0.0000  2 Pm 3.49, 4 Tm 3.54, 2 Pr 3.55, 4 Dy 3.57
Dy: 0.2494 0.1593 0.5000  4 Tm 3.45-3.49, 2 Dy 3.55, 2 Pm 3.57, 2 Pr 3.57
Dy: 0.2506 0.6593 0.0000  4 Tm 3.45-3.49, 2 Dy 3.55, 2 Pm 3.57, 2 Pr 3.57
Dy: 0.7494 0.3407 0.0000  4 Tm 3.45-3.49, 2 Dy 3.55, 2 Pm 3.57, 2 Pr 3.57
Dy: 0.7506 0.8407 0.5000  4 Tm 3.45-3.49, 2 Dy 3.55, 2 Pm 3.57, 2 Pr 3.57
Tm: 0.2497 0.3435 0.0000  4 Dy 3.45-3.49, 2 Pr 3.54, 2 Pm 3.54, 2 Tm 3.55
Tm: 0.2503 0.8435 0.5000  4 Dy 3.45-3.49, 2 Pr 3.54, 2 Pm 3.54, 2 Tm 3.55
Tm: 0.7497 0.1565 0.5000  4 Dy 3.45-3.49, 2 Pr 3.54, 2 Pm 3.54, 2 Tm 3.55
Tm: 0.7503 0.6565 0.0000  4 Dy 3.45-3.49, 2 Pr 3.54, 2 Pm 3.54, 2 Tm 3.55

Its magnetic moment is 0.0 μB/f.u. For the density of states at the Fermi level, the calculation gives 1.55 states/eV/atom. Its volume is 33.137 Å³ per atom. The calculation puts the formation energy at 0.1750 eV per atom.


4.
Compound: La4Dy3Ho
Source: Alexandria
Functional: PBE
Structure: relaxed

Cell: 11.7086 7.3465 6.3868 Å, 90.00 90.00 90.00°
Last column: nearest neighbours and their distance in Å.
Sites, in units of the cell vectors:
La: 0.0000 0.1261 0.0000  6 La 3.60-3.71, 2 Ho 3.62-3.72, 4 Dy 3.64-3.71
La: 0.0000 0.8728 0.4979  6 La 3.59-3.71, 4 Dy 3.63-3.72, 2 Ho 3.70
La: 0.2492 0.8723 0.8267  6 La 3.59-3.70, 5 Dy 3.62-3.73, 1 Ho 3.63
La: 0.2508 0.1277 0.3267  6 La 3.59-3.70, 5 Dy 3.62-3.73, 1 Ho 3.63
La: 0.5000 0.1272 0.9979  6 La 3.59-3.71, 4 Dy 3.63-3.72, 2 Ho 3.70
La: 0.5000 0.8739 0.5000  6 La 3.60-3.71, 2 Ho 3.62-3.72, 4 Dy 3.64-3.71
La: 0.7492 0.1277 0.3267  6 La 3.59-3.70, 5 Dy 3.62-3.73, 1 Ho 3.63
La: 0.7508 0.8723 0.8267  6 La 3.59-3.70, 5 Dy 3.62-3.73, 1 Ho 3.63
Dy: 0.0000 0.3789 0.4976  4 Dy 3.59-3.61, 6 La 3.63-3.72, 2 Ho 3.65
Dy: 0.2500 0.3794 0.8275  2 Ho 3.58-3.61, 4 Dy 3.59-3.65, 6 La 3.62-3.73
Dy: 0.2500 0.6206 0.3275  2 Ho 3.58-3.61, 4 Dy 3.59-3.65, 6 La 3.62-3.73
Dy: 0.5000 0.6211 0.9976  4 Dy 3.59-3.61, 6 La 3.63-3.72, 2 Ho 3.65
Dy: 0.7500 0.3794 0.8275  2 Ho 3.58-3.61, 4 Dy 3.59-3.65, 6 La 3.62-3.73
Dy: 0.7500 0.6206 0.3275  2 Ho 3.58-3.61, 4 Dy 3.59-3.65, 6 La 3.62-3.73
Ho: 0.0000 0.6193 0.9976  6 Dy 3.58-3.65, 6 La 3.62-3.72
Ho: 0.5000 0.3807 0.4976  6 Dy 3.58-3.65, 6 La 3.62-3.72

Its magnetic moment is 0.0 μB/f.u. For the density of states at the Fermi level, the calculation gives 1.72 states/eV/atom. Its volume is 34.336 Å³ per atom. The calculation puts the formation energy at 0.0336 eV per atom.


5.
Compound: AsPtCl
Source: Alexandria
Functional: PBE
Structure: relaxed

Cell: 6.2456 6.2456 6.2456 Å, 90.00 90.00 90.00°
Last column: nearest neighbours and their distance in Å.
Sites, in units of the cell vectors:
As: 0.0000 0.0000 0.0000  4 Pt 2.70
As: 0.0000 0.5000 0.5000  4 Pt 2.70
As: 0.5000 0.0000 0.5000  4 Pt 2.70
As: 0.5000 0.5000 0.0000  4 Pt 2.70
Pt: 0.2500 0.2500 0.2500  4 Cl 2.70, 4 As 2.70
Pt: 0.2500 0.7500 0.7500  4 Cl 2.70, 4 As 2.70
Pt: 0.7500 0.2500 0.7500  4 Cl 2.70, 4 As 2.70
Pt: 0.7500 0.7500 0.2500  4 Cl 2.70, 4 As 2.70
Cl: 0.0000 0.0000 0.5000  4 Pt 2.70
Cl: 0.0000 0.5000 0.0000  4 Pt 2.70
Cl: 0.5000 0.0000 0.0000  4 Pt 2.70
Cl: 0.5000 0.5000 0.5000  4 Pt 2.70

Its magnetic moment is 0.0 μB/f.u. For the density of states at the Fermi level, the calculation gives 0.30 states/eV/atom. Its volume is 20.302 Å³ per atom. As for the energy relative to the elements, uncorrected: 0.1425 eV per atom.


6.
Compound: Zr2TaW
Source: Alexandria
Functional: PBE
Structure: relaxed

Cell: 2.8154 4.8217 5.8135 Å, 90.00 90.00 90.00°
Last column: nearest neighbours and their distance in Å.
Sites, in units of the cell vectors:
Zr: 0.0000 0.0000 0.0000  2 Ta 2.81-3.00, 2 Zr 2.82
Zr: 0.5000 0.5000 0.2562  2 Zr 2.82, 2 W 2.83-2.98
Ta: 0.0000 0.0000 0.5166  2 Zr 2.81-3.00, 2 Ta 2.82, 4 W 3.09
W: 0.5000 0.5000 0.7433  2 W 2.82, 2 Zr 2.83-2.98, 4 Ta 3.09

Its magnetic moment is 0.0 μB/f.u. For the density of states at the Fermi level, the calculation gives 1.29 states/eV/atom. Its volume is 19.729 Å³ per atom. The calculation puts the formation energy at 0.2906 eV per atom.


7.
Compound: TbMnB4
Source: Alexandria
Functional: PBE
Structure: relaxed

Cell: 5.9238 11.4536 3.4182 Å, 90.00 90.00 90.00°
Last column: nearest neighbours and their distance in Å.
Sites, in units of the cell vectors:
Tb: 0.1256 0.1504 0.0000  14 B 2.60-2.72
Tb: 0.3744 0.6504 0.0000  14 B 2.60-2.72
Tb: 0.6256 0.3496 0.0000  14 B 2.60-2.72
Tb: 0.8744 0.8496 0.0000  14 B 2.60-2.72
Mn: 0.1271 0.4164 0.0000  10 B 2.25-2.29, 1 Mn 2.44
Mn: 0.3729 0.9164 0.0000  10 B 2.25-2.29, 1 Mn 2.44
Mn: 0.6271 0.0836 0.0000  10 B 2.25-2.29, 1 Mn 2.44
Mn: 0.8729 0.5836 0.0000  10 B 2.25-2.29, 1 Mn 2.44
B: 0.0251 0.6905 0.5000  3 B 1.73-1.85
B: 0.1119 0.5461 0.5000  3 B 1.70-1.73
B: 0.1387 0.9677 0.5000  3 B 1.73-1.80
B: 0.2200 0.8165 0.5000  3 B 1.80-1.85
B: 0.2800 0.3165 0.5000  3 B 1.80-1.85
B: 0.3613 0.4677 0.5000  3 B 1.73-1.80
B: 0.3881 0.0461 0.5000  3 B 1.70-1.73
B: 0.4749 0.1905 0.5000  3 B 1.73-1.85
B: 0.5251 0.8095 0.5000  3 B 1.73-1.85
B: 0.6119 0.9539 0.5000  3 B 1.70-1.73
B: 0.6387 0.5323 0.5000  3 B 1.73-1.80
B: 0.7200 0.6835 0.5000  3 B 1.80-1.85
B: 0.7800 0.1835 0.5000  3 B 1.80-1.85
B: 0.8613 0.0323 0.5000  3 B 1.73-1.80
B: 0.8881 0.4539 0.5000  3 B 1.70-1.73
B: 0.9749 0.3095 0.5000  3 B 1.73-1.85

Its magnetic moment is 1.0 μB/f.u. For the density of states at the Fermi level, the calculation gives 0.22 states/eV/atom. Its volume is 9.663 Å³ per atom. The calculation puts the formation energy at -0.6377 eV per atom.


8.
Compound: CrCo2Au
Source: Alexandria
Functional: PBE
Structure: relaxed

Cell: 3.6810 3.6810 7.5446 Å, 90.00 90.00 90.00°
Last column: nearest neighbours and their distance in Å.
Sites, in units of the cell vectors:
Cr: 0.0000 0.0000 0.0000  8 Co 2.60-2.64, 4 Au 2.64
Cr: 0.5000 0.5000 0.5000  8 Co 2.60-2.64, 4 Au 2.64
Co: 0.0000 0.0000 0.5000  4 Cr 2.60, 4 Co 2.64, 4 Au 2.64
Co: 0.0000 0.5000 0.7500  4 Au 2.60, 4 Cr 2.64, 4 Co 2.64
Co: 0.5000 0.0000 0.2500  4 Au 2.60, 4 Cr 2.64, 4 Co 2.64
Co: 0.5000 0.5000 0.0000  4 Cr 2.60, 4 Co 2.64, 4 Au 2.64
Au: 0.0000 0.5000 0.2500  8 Co 2.60-2.64, 4 Cr 2.64
Au: 0.5000 0.0000 0.7500  8 Co 2.60-2.64, 4 Cr 2.64

Its magnetic moment is 3.5 μB/f.u. For the density of states at the Fermi level, the calculation gives 1.31 states/eV/atom. Its volume is 12.778 Å³ per atom. The calculation puts the formation energy at 0.2831 eV per atom.


9.
Compound: La2BiH2I
Source: Alexandria
Functional: PBE
Structure: relaxed

Cell: 4.2722 4.2722 9.1747 Å, 90.00 90.00 120.00°
Last column: nearest neighbours and their distance in Å.
Sites, in units of the cell vectors:
La: 0.3333 0.6667 0.2308  3 H 2.48
La: 0.6667 0.3333 0.7692  3 H 2.48
Bi: 0.0000 0.0000 0.0000  6 La 3.25, 6 H 3.39
H: 0.3333 0.6667 0.7465  3 La 2.48
H: 0.6667 0.3333 0.2535  3 La 2.48
I: 0.0000 0.0000 0.5000  6 H 3.35, 6 La 3.49

Its magnetic moment is 0.0 μB/f.u. Its volume is 24.169 Å³ per atom.


10.
Compound: PrSmMgMn
Source: Alexandria
Functional: PBE
Structure: relaxed

Cell: 7.5564 7.5564 7.5564 Å, 90.00 90.00 90.00°
Last column: nearest neighbours and their distance in Å.
Sites, in units of the cell vectors:
Pr: 0.0000 0.0000 0.0000  4 Mn 3.27, 4 Mg 3.27
Pr: 0.0000 0.5000 0.5000  4 Mn 3.27, 4 Mg 3.27
Pr: 0.5000 0.0000 0.5000  4 Mn 3.27, 4 Mg 3.27
Pr: 0.5000 0.5000 0.0000  4 Mn 3.27, 4 Mg 3.27
Sm: 0.0000 0.0000 0.5000  4 Mn 3.27, 4 Mg 3.27
Sm: 0.0000 0.5000 0.0000  4 Mn 3.27, 4 Mg 3.27
Sm: 0.5000 0.0000 0.0000  4 Mn 3.27, 4 Mg 3.27
Sm: 0.5000 0.5000 0.5000  4 Mn 3.27, 4 Mg 3.27
Mg: 0.2500 0.2500 0.7500  4 Pr 3.27, 4 Sm 3.27
Mg: 0.2500 0.7500 0.2500  4 Pr 3.27, 4 Sm 3.27
Mg: 0.7500 0.2500 0.2500  4 Pr 3.27, 4 Sm 3.27
Mg: 0.7500 0.7500 0.7500  4 Sm 3.27, 4 Pr 3.27
Mn: 0.2500 0.2500 0.2500  4 Pr 3.27, 4 Sm 3.27
Mn: 0.2500 0.7500 0.7500  4 Pr 3.27, 4 Sm 3.27
Mn: 0.7500 0.2500 0.7500  4 Pr 3.27, 4 Sm 3.27
Mn: 0.7500 0.7500 0.2500  4 Pr 3.27, 4 Sm 3.27

Its magnetic moment is 3.3 μB/f.u. For the density of states at the Fermi level, the calculation gives 1.24 states/eV/atom. Its volume is 26.966 Å³ per atom. The calculation puts the formation energy at 0.1229 eV per atom.


11.
Compound: TmZrAlFe
Source: Alexandria
Functional: PBE
Structure: relaxed

Cell: 6.7513 6.7513 6.7513 Å, 90.00 90.00 90.00°
Last column: nearest neighbours and their distance in Å.
Sites, in units of the cell vectors:
Tm: 0.0000 0.0000 0.0000  4 Al 2.92, 4 Fe 2.92
Tm: 0.0000 0.5000 0.5000  4 Al 2.92, 4 Fe 2.92
Tm: 0.5000 0.0000 0.5000  4 Al 2.92, 4 Fe 2.92
Tm: 0.5000 0.5000 0.0000  4 Al 2.92, 4 Fe 2.92
Zr: 0.0000 0.0000 0.5000  4 Fe 2.92, 4 Al 2.92
Zr: 0.0000 0.5000 0.0000  4 Fe 2.92, 4 Al 2.92
Zr: 0.5000 0.0000 0.0000  4 Fe 2.92, 4 Al 2.92
Zr: 0.5000 0.5000 0.5000  4 Fe 2.92, 4 Al 2.92
Al: 0.2500 0.2500 0.7500  4 Zr 2.92, 4 Tm 2.92
Al: 0.2500 0.7500 0.2500  4 Zr 2.92, 4 Tm 2.92
Al: 0.7500 0.2500 0.2500  4 Zr 2.92, 4 Tm 2.92
Al: 0.7500 0.7500 0.7500  4 Zr 2.92, 4 Tm 2.92
Fe: 0.2500 0.2500 0.2500  4 Tm 2.92, 4 Zr 2.92
Fe: 0.2500 0.7500 0.7500  4 Tm 2.92, 4 Zr 2.92
Fe: 0.7500 0.2500 0.7500  4 Tm 2.92, 4 Zr 2.92
Fe: 0.7500 0.7500 0.2500  4 Tm 2.92, 4 Zr 2.92

Its magnetic moment is 0.7 μB/f.u. For the density of states at the Fermi level, the calculation gives 0.72 states/eV/atom. Its volume is 19.233 Å³ per atom. The calculation puts the formation energy at -0.1497 eV per atom.


12.
Compound: MgTl3In12
Source: Alexandria
Functional: PBE
Structure: relaxed

Cell: 4.6350 4.6350 20.3055 Å, 90.00 90.00 90.00°
Last column: nearest neighbours and their distance in Å.
Sites, in units of the cell vectors:
Mg: 0.0000 0.0000 0.0000  12 In 3.28-3.29
Tl: 0.0000 0.0000 0.2428  12 In 3.28-3.50
Tl: 0.0000 0.0000 0.5000  12 In 3.28-3.48
Tl: 0.0000 0.0000 0.7572  12 In 3.28-3.50
In: 0.0000 0.5000 0.1148  8 In 3.28-3.47, 2 Mg 3.29, 2 Tl 3.48
In: 0.0000 0.5000 0.3720  8 In 3.28-3.52, 4 Tl 3.48-3.50
In: 0.0000 0.5000 0.6280  8 In 3.28-3.52, 4 Tl 3.48-3.50
In: 0.0000 0.5000 0.8852  8 In 3.28-3.47, 2 Mg 3.29, 2 Tl 3.48
In: 0.5000 0.0000 0.1148  8 In 3.28-3.47, 2 Mg 3.29, 2 Tl 3.48
In: 0.5000 0.0000 0.3720  8 In 3.28-3.52, 4 Tl 3.48-3.50
In: 0.5000 0.0000 0.6280  8 In 3.28-3.52, 4 Tl 3.48-3.50
In: 0.5000 0.0000 0.8852  8 In 3.28-3.47, 2 Mg 3.29, 2 Tl 3.48
In: 0.5000 0.5000 0.0000  4 Mg 3.28, 8 In 3.29
In: 0.5000 0.5000 0.2418  4 Tl 3.28, 8 In 3.47-3.52
In: 0.5000 0.5000 0.5000  4 Tl 3.28, 8 In 3.48
In: 0.5000 0.5000 0.7582  4 Tl 3.28, 8 In 3.47-3.52

Its magnetic moment is 0.0 μB/f.u. For the density of states at the Fermi level, the calculation gives 0.72 states/eV/atom. Its volume is 27.264 Å³ per atom. The calculation puts the formation energy at 0.0235 eV per atom.


| no. | total energy (eV/atom) |
| --- | --- |
| 1 | -5.732 |
| 2 | -3.081 |
| 3 | -4.438 |
| 4 | -4.728 |
| 5 | -4.036 |
| 6 | -10.185 |
| 7 | -7.389 |
| 8 | -6.495 |
| 9 | -4.602 |
| 10 | -4.943 |
| 11 | -6.456 |
| 12 | -2.574 |